The following is a DFT calculation (PBE-GGA) of a geometry-optimized NaCu2AgCl6 structure.

Summary:
formation energy from raw total energies	-696	kJ/mol of formula units
DOS(E_F)	10.7	states/eV/f.u.
E	-122.625	eV/cell

The structure in CIF format:
```
data_NaCu2AgCl6
_chemical_formula_sum 'Na4 Cu8 Ag4 Cl24'
_symmetry_space_group_name_H-M 'C 1 2/c 1'
_symmetry_Int_Tables_number 15
_cell_length_a 12.461
_cell_length_b 11.948
_cell_length_c 6.613
_cell_angle_alpha 90.00
_cell_angle_beta 101.64
_cell_angle_gamma 90.00
loop_
_symmetry_equiv_pos_as_xyz
'x,y,z'
'-x,-y,-z'
'-x,y,-z+1/2'
'x,-y,z+1/2'
'x+1/2,y+1/2,z'
'-x+1/2,-y+1/2,-z'
'-x+1/2,y+1/2,-z+1/2'
'x+1/2,-y+1/2,z+1/2'
loop_
_atom_site_label
_atom_site_type_symbol
_atom_site_fract_x
_atom_site_fract_y
_atom_site_fract_z
Na1 Na 0.000 0.093 0.250
Cu1 Cu 0.189 0.419 0.287
Ag1 Ag 0.000 0.270 0.750
Cl1 Cl 0.116 0.268 0.103
Cl2 Cl 0.124 0.093 0.648
Cl3 Cl 0.143 0.420 0.604
```